# PaTl2AsS5, relaxed, DFT PBE
# M_tot = 0.000 Bohr magnetons per cell
# Total energy = -5.132 eV/atom
# Formation energy (no corrections) = -71.58 kJ per mole of atoms
# Symmetry = Cmc2_1, No. 36
# Calculated volume = 531 Å³ per cell
data_PaTl2AsS5
_cell_length_a 4.223
_cell_length_b 9.221
_cell_length_c 14.015
_cell_angle_alpha 90.00
_cell_angle_beta 90.00
_cell_angle_gamma 103.24
_space_group_name_H-M_alt 'P 1'
_space_group_IT_number 1
loop_
_space_group_symop_operation_xyz
'x,y,z'
loop_
_atom_site_label
_atom_site_type_symbol
_atom_site_fract_x
_atom_site_fract_y
_atom_site_fract_z
Tl1 Tl 0.871 0.742 0.819
Tl2 Tl 0.900 0.800 0.148
Tl3 Tl 0.100 0.200 0.648
Tl4 Tl 0.129 0.258 0.319
S1 S 0.654 0.308 0.491
S2 S 0.346 0.692 0.991
S3 S 0.934 0.869 0.548
S4 S 0.681 0.361 0.910
S5 S 0.319 0.639 0.410
S6 S 0.494 0.988 0.286
S7 S 0.506 0.012 0.786
S8 S 0.723 0.447 0.152
S9 S 0.066 0.131 0.048
S10 S 0.277 0.553 0.652
Pa1 Pa 0.790 0.580 0.536
Pa2 Pa 0.210 0.420 0.036
As1 As 0.451 0.901 0.432
As2 As 0.549 0.099 0.932